{
  "formula": "CsNb3Sn",
  "functional": "PBE",
  "state": "optimized geometry",
  "polymorph_energy_ev_per_atom": 0.000,
  "formation_enthalpy_0k_ev_per_atom": 1.888,
  "mass_density_g_cm3": 5.90,
  "m_tot_mub_per_cell": 0.00,
  "vol_a3_per_atom": 29.86,
  "space_group": "No. 221",
  "cell": [[5.3048, 0.0000, 0.0000], [0.0000, 5.3048, 0.0000], [0.0000, 0.0000, 5.3048]],
  "species": ["Cs", "Nb", "Nb", "Nb", "Sn"],
  "fractional_positions": [[0.0000, 0.0000, 0.0000], [0.0000, 0.5000, 0.5000], [0.5000, 0.0000, 0.5000], [0.5000, 0.5000, 0.0000], [0.5000, 0.5000, 0.5000]]
}